# Rb2VF4 (GGA+U, optimized geometry)
# Total energy: -5.158 eV per atom
# Total moment: 3.00 μB per formula unit
data_Rb2VF4
_chemical_formula_sum 'Rb4 V2 F8'
_cell_length_a 4.2586
_cell_length_b 4.2586
_cell_length_c 14.0562
_cell_angle_alpha 90.00
_cell_angle_beta 90.00
_cell_angle_gamma 90.00
_space_group_name_H-M_alt 'I 4/m m m'
_space_group_IT_number 139
_space_group_name_Hall '-I 4 2'
loop_
_atom_site_label
_atom_site_type_symbol
_atom_site_fract_x
_atom_site_fract_y
_atom_site_fract_z
_atom_site_occupancy
Rb1 Rb 0.0000 0.0000 0.1473 1
V1 V 0.0000 0.0000 0.5000 1
F1 F 0.0000 0.0000 0.3483 1
F2 F 0.0000 0.5000 0.0000 1